Entry 1:
First-principles (PBE) data for a geometry-optimized CsIn2I4 structure, as listed in the Alexandria database.

Geometry as POSCAR:
```
CsIn2I4
1.0
-3.524 -5.287 7.281
1.854 -5.617 -8.227
8.396 3.649 3.122
Cs In I
2 4 8
Cartesian
4.973 -3.984 -2.953 Cs
9.910 -1.917 -4.941 Cs
5.552 -2.906 3.424 In
1.493 -7.205 -1.837 In
0.641 -4.429 2.454 In
6.436 0.093 0.013 In
-0.355 -4.532 5.922 I
1.438 -4.326 -1.359 I
3.305 -5.773 4.006 I
4.279 -7.384 -0.872 I
2.544 -6.801 -4.568 I
6.189 0.243 3.612 I
6.972 -3.488 0.418 I
0.270 -7.707 0.901 I
```

The uncorrected formation energy comes out at -72 kJ/mol of atoms. Its offset from the most stable computed form is 0.00 kJ/mol of atoms. Its total energy is -17.74 eV per formula unit.



Entry 2:
First-principles (PBE) data for a geometry-optimized TaNb3P structure, as listed in the Alexandria database.

Geometry as POSCAR:
```
TaNb3P
1.0
4.887 0.000 0.000
0.000 4.887 0.000
0.000 0.000 4.887
P Nb Ta
1 3 1
Cartesian
2.443 2.443 2.443 P
0.000 2.443 0.000 Nb
0.000 0.000 2.443 Nb
2.443 0.000 0.000 Nb
0.000 0.000 0.000 Ta
```

Its offset from the most stable computed form is 131.95 kJ/mol of atoms. The calculation puts the formation energy at 1615 meV/atom. Its total energy is -39.39 eV per formula unit.



Entry 3:
First-principles (PBE) data for a geometry-optimized HfTiO2F structure, as listed in the Alexandria database.

Geometry as POSCAR:
```
HfTiO2F
1.0
-2.750 3.039 0.438
-3.043 -2.620 -0.927
-0.405 -0.943 3.999
F Hf O Ti
1 1 2 1
Cartesian
-0.203 -0.472 2.000 F
0.000 0.000 0.000 Hf
-1.522 -1.310 -0.463 O
-1.375 1.519 0.219 O
-3.099 -0.263 1.755 Ti
```

The uncorrected formation energy comes out at -209 kJ/mol of atoms. Its total energy is -40.49 eV per formula unit.



Entry 4:
First-principles (PBE) data for a geometry-optimized UInAu4 structure, as listed in the Alexandria database.

Geometry as POSCAR:
```
UInAu4
1.0
-3.984 1.206 -2.866
-1.683 -5.169 0.165
-3.348 -1.984 3.819
U In Au
1 1 4
Cartesian
-6.177 -3.945 2.458 U
-3.351 -6.142 2.063 In
-4.494 -4.329 -0.041 Au
-4.512 -1.576 1.140 Au
-3.303 -3.302 3.189 Au
-1.716 -3.815 0.768 Au
```

Its offset from the most stable computed form is 0.00 kJ/mol of atoms. The calculation puts the formation energy at -175 meV/atom. Its total energy is -28.19 eV per formula unit.